The following is a DFT calculation (GGA-PBE) of an optimized crystal structure of NiSnPb2.

Geometry as POSCAR:
```
NiSnPb2
1.0
-2.679 2.679 8.204
2.679 -2.679 8.204
2.679 2.679 -8.204
Ni Sn Pb
2 2 4
Direct
0.000 0.000 0.000
0.750 0.250 0.500
0.250 0.750 0.500
0.500 0.500 0.000
0.047 0.625 0.922
0.375 0.297 0.422
0.703 0.125 0.078
0.875 0.953 0.578
```

Computed properties:
- total energy (eV per atom) = -3.931
- DFT formation energy (meV per atom) = 369